Below is a relaxed structure of PmNbSb, with properties calculated at the PBE level.

The value obtained for the electronic total energy is -16.87 eV/f.u. The calculation puts the total magnetization at 15.6 μB per cell. The distance to the lowest polymorph of the same formula is 671.1 meV per atom.

The space group is F-43m (No. 216) and the conventional cell measures 7.210, 7.210 and 7.210 Å, with angles of 90.00, 90.00 and 90.00 degrees. The inequivalent atoms are Pm at (0.000, 0.000, 0.000), Nb at (0.250, 0.250, 0.750) and Sb at (0.250, 0.250, 0.250).